The following is a DFT calculation (PBE) of a relaxed SrMgSe2 crystal.

For the total magnetic moment, the calculation gives 0.0 μB/f.u. The calculation puts the formation energy (no corrections) at -5.319 eV per formula unit.

The space group is Immm (No. 71) and the conventional cell measures 4.184, 6.662 and 7.810 Å, with angles of 90.00, 90.00 and 90.00 degrees. The distinct sites, in fractional coordinates, are Sr at (0.000, 0.000, 0.000), Mg at (0.000, 0.000, 0.500) and Se at (0.000, 0.500, 0.216).